No. 1
First-principles (PBE) data for crystalline Tb6Ge3H at its relaxed geometry, as listed in Alexandria via LeMat-Bulk.

a = 8.9379 Å, b = 8.9379 Å, c = 6.7482 Å
α = 90.00°, β = 90.00°, γ = 102.27°
Atoms (fractional coordinates):
Tb: 0.0455 0.9545 0.5000
Tb: 0.1048 0.5696 0.5190
Tb: 0.2250 0.7750 0.0286
Tb: 0.3078 0.3654 0.0364
Tb: 0.3654 0.3078 0.5364
Tb: 0.4304 0.8952 0.5190
Tb: 0.5696 0.1048 0.0190
Tb: 0.6346 0.6922 0.0364
Tb: 0.6922 0.6346 0.5364
Tb: 0.7750 0.2250 0.5286
Tb: 0.8952 0.4304 0.0190
Tb: 0.9545 0.0455 0.0000
Ge: 0.0613 0.2792 0.3119
Ge: 0.2792 0.0613 0.8119
Ge: 0.3867 0.6133 0.7474
Ge: 0.6133 0.3867 0.2474
Ge: 0.7208 0.9387 0.3119
Ge: 0.9387 0.7208 0.8119
H: 0.1981 0.8019 0.3770
H: 0.8019 0.1981 0.8770

* space group: No. 36
* calculated total energy: -5.03 eV per atom
* total moment: 0.000 μB per atom
* N(E_F): 1.008 states/eV/atom

=====

No. 2
First-principles (PBE) data for crystalline Tb2GeH at its relaxed geometry, as listed in Alexandria via LeMat-Bulk.

a = 4.3543 Å, b = 4.3543 Å, c = 21.1740 Å
α = 90.00°, β = 90.00°, γ = 120.00°
Atoms (fractional coordinates):
Tb: 0.0000 0.0000 0.1001
Tb: 0.0000 0.0000 0.8999
Tb: 0.3333 0.6667 0.5665
Tb: 0.3333 0.6667 0.7668
Tb: 0.6667 0.3333 0.2332
Tb: 0.6667 0.3333 0.4335
Ge: 0.0000 0.0000 0.5000
Ge: 0.3333 0.6667 0.1667
Ge: 0.6667 0.3333 0.8333
H: 0.0000 0.0000 0.0000
H: 0.3333 0.6667 0.6667
H: 0.6667 0.3333 0.3333

* space group: No. 166
* calculated total energy: -4.67 eV per atom
* total moment: 0.134 μB per atom
* N(E_F): 0.907 states/eV/atom

=====

No. 3
First-principles (PBE) data for crystalline TbZnGeH at its relaxed geometry, as listed in Alexandria via LeMat-Bulk.

a = 4.0523 Å, b = 4.0523 Å, c = 7.4979 Å
α = 90.00°, β = 90.00°, γ = 90.00°
Atoms (fractional coordinates):
Tb: 0.2500 0.2500 0.1533
Tb: 0.7500 0.7500 0.8467
Zn: 0.2500 0.7500 0.5000
Zn: 0.7500 0.2500 0.5000
Ge: 0.2500 0.2500 0.7173
Ge: 0.7500 0.7500 0.2827
H: 0.2500 0.7500 0.0000
H: 0.7500 0.2500 0.0000

* space group: No. 129
* calculated total energy: -4.04 eV per atom
* total moment: 0.000 μB per atom
* N(E_F): 0.160 states/eV/atom

=====

No. 4
First-principles (PBE) data for crystalline TcGeH3 at its relaxed geometry, as listed in Alexandria via LeMat-Bulk.

a = 3.5586 Å, b = 3.5586 Å, c = 3.5586 Å
α = 90.00°, β = 90.00°, γ = 90.00°
Atoms (fractional coordinates):
Tc: 0.0000 0.0000 0.0000
Ge: 0.5000 0.5000 0.5000
H: 0.0000 0.0000 0.5000
H: 0.0000 0.5000 0.0000
H: 0.5000 0.0000 0.0000

* space group: No. 221
* calculated total energy: -4.59 eV per atom
* total moment: 0.000 μB per atom
* N(E_F): 0.410 states/eV/atom

=====

Question: calculated total energy of number 2 (Tb2GeH)?
Answer: -4.67 eV per atom

=====

Repeat the first record exactly.
First-principles (PBE) data for crystalline Tb6Ge3H at its relaxed geometry, as listed in Alexandria via LeMat-Bulk.

a = 8.9379 Å, b = 8.9379 Å, c = 6.7482 Å
α = 90.00°, β = 90.00°, γ = 102.27°
Atoms (fractional coordinates):
Tb: 0.0455 0.9545 0.5000
Tb: 0.1048 0.5696 0.5190
Tb: 0.2250 0.7750 0.0286
Tb: 0.3078 0.3654 0.0364
Tb: 0.3654 0.3078 0.5364
Tb: 0.4304 0.8952 0.5190
Tb: 0.5696 0.1048 0.0190
Tb: 0.6346 0.6922 0.0364
Tb: 0.6922 0.6346 0.5364
Tb: 0.7750 0.2250 0.5286
Tb: 0.8952 0.4304 0.0190
Tb: 0.9545 0.0455 0.0000
Ge: 0.0613 0.2792 0.3119
Ge: 0.2792 0.0613 0.8119
Ge: 0.3867 0.6133 0.7474
Ge: 0.6133 0.3867 0.2474
Ge: 0.7208 0.9387 0.3119
Ge: 0.9387 0.7208 0.8119
H: 0.1981 0.8019 0.3770
H: 0.8019 0.1981 0.8770

* space group: No. 36
* calculated total energy: -5.03 eV per atom
* total moment: 0.000 μB per atom
* N(E_F): 1.008 states/eV/atom